Arrangement a

Li2In2Ag: relaxed, PBE-GGA.

Cell lengths 5.7207, 5.7207, 7.8796 Å; angles 70.13, 70.13, 54.11 degrees
Element x y z (fractional)
Ag (0.3183, 0.6817, 0.2500)
Ag (0.6817, 0.3183, 0.7500)
In (0.4741, 0.1387, 0.1469)
In (0.1387, 0.4741, 0.6469)
In (0.5259, 0.8613, 0.8531)
In (0.8613, 0.5259, 0.3531)
Li (0.9264, 0.2653, 0.0520)
Li (0.0736, 0.7347, 0.9480)
Li (0.7347, 0.0736, 0.4480)
Li (0.2653, 0.9264, 0.5520)

Values from the calculation:
Mass density ... 6044 kg/m³
Crystal system ... monoclinic
Spin magnetization ... 0.000 μB per atom
DOS at the Fermi energy ... 2.60 states/eV/cell

Arrangement b

Li2In2Ag: relaxed, PBE-GGA.

Cell lengths 3.7534, 3.7534, 7.7451 Å; angles 75.98, 75.98, 90.00 degrees
Element x y z (fractional)
Li (0.7500, 0.2500, 0.5000)
Li (0.2500, 0.7500, 0.5000)
In (0.3984, 0.3984, 0.2032)
In (0.6016, 0.6016, 0.7968)
Ag (0.0000, 0.0000, 0.0000)

Values from the calculation:
Mass density ... 5692 kg/m³
Crystal system ... tetragonal
Spin magnetization ... 0.000 μB per atom
DOS at the Fermi energy ... 1.27 states/eV/cell

Arrangement c

Li2In2Ag: relaxed, PBE-GGA.

Cell lengths 4.7517, 4.7261, 5.6552 Å; angles 64.68, 65.16, 59.82 degrees
Element x y z (fractional)
In (0.3996, 0.4007, 0.8002)
In (0.6004, 0.5993, 0.1998)
Ag (0.0000, 0.0000, 0.0000)
Li (0.1954, 0.1959, 0.4133)
Li (0.8046, 0.8041, 0.5867)

Values from the calculation:
Mass density ... 6094 kg/m³
Crystal system ... monoclinic
Spin magnetization ... 0.000 μB per atom
DOS at the Fermi energy ... 1.51 states/eV/cell

Need the numbers? Relative energies in kJ/mol of atoms: arrangement a 0.6; arrangement b 16.5; arrangement c 0.0.

Arrangement a

Li4In2Ag5: relaxed, PBE-GGA.

Cell lengths 3.0725, 7.5482, 10.9793 Å; angles 110.11, 114.84, 90.00 degrees
Element x y z (fractional)
Ag (0.1283, 0.1954, 0.7522)
Ag (0.1283, 0.5568, 0.7522)
Ag (0.8717, 0.8046, 0.2478)
Ag (0.8717, 0.4432, 0.2478)
Ag (0.5000, 0.0000, 0.0000)
Li (0.6905, 0.7301, 0.4602)
Li (0.0000, 0.6869, 0.0000)
Li (0.3095, 0.2699, 0.5398)
Li (0.0000, 0.3131, 0.0000)
In (0.4097, 0.1366, 0.2731)
In (0.5903, 0.8634, 0.7269)

Values from the calculation:
Mass density ... 6187 kg/m³
Crystal system ... orthorhombic
Spin magnetization ... 0.000 μB per atom
DOS at the Fermi energy ... 3.67 states/eV/cell

Arrangement b

Li4In2Ag5: relaxed, PBE-GGA.

Cell lengths 5.6213, 5.6697, 7.7682 Å; angles 85.88, 68.79, 60.28 degrees
Element x y z (fractional)
Ag (0.2114, 0.8922, 0.1765)
Ag (0.2801, 0.1078, 0.8235)
Ag (0.7199, 0.8922, 0.1765)
Ag (0.0000, 0.5000, 0.5000)
Ag (0.7886, 0.1078, 0.8235)
In (0.3372, 0.5840, 0.7416)
In (0.6628, 0.4160, 0.2584)
Li (0.7221, 0.0445, 0.5113)
Li (0.2779, 0.9555, 0.4887)
Li (0.2501, 0.3805, 0.1194)
Li (0.7499, 0.6195, 0.8806)

Values from the calculation:
Mass density ... 6659 kg/m³
Crystal system ... monoclinic
Spin magnetization ... 0.000 μB per atom
DOS at the Fermi energy ... 2.45 states/eV/cell

Need the numbers? Relative energies in kJ/mol of atoms: arrangement a 4.6; arrangement b 0.0.

Arrangement a

Li5In4Ag2: relaxed, PBE-GGA.

Cell lengths 3.0822, 7.3654, 9.5167 Å; angles 91.93, 90.00, 90.00 degrees
Element x y z (fractional)
Ag (0.0000, 0.9283, 0.3573)
Ag (0.0000, 0.0717, 0.6427)
Li (0.0000, 0.4298, 0.6940)
Li (0.0000, 0.1862, 0.1635)
Li (0.0000, 0.8138, 0.8365)
Li (0.0000, 0.5702, 0.3060)
Li (0.0000, 0.5000, 0.0000)
In (0.5000, 0.8274, 0.1017)
In (0.5000, 0.1726, 0.8983)
In (0.5000, 0.7183, 0.5697)
In (0.5000, 0.2817, 0.4303)

Values from the calculation:
Mass density ... 5458 kg/m³
Crystal system ... monoclinic
Spin magnetization ... 0.000 μB per atom
DOS at the Fermi energy ... 4.53 states/eV/cell

Arrangement b

Li5In4Ag2: relaxed, PBE-GGA.

Cell lengths 3.1642, 7.4202, 17.7899 Å; angles 90.00, 90.00, 90.00 degrees
Element x y z (fractional)
Li (0.0000, 0.2586, 0.7851)
Li (0.0000, 0.5000, 0.5000)
Li (0.0000, 0.2414, 0.2851)
Li (0.0000, 0.7414, 0.2149)
Li (0.0000, 0.1425, 0.5707)
Li (0.0000, 0.7586, 0.7149)
Li (0.0000, 0.8575, 0.4293)
Li (0.0000, 0.3575, 0.0707)
Li (0.0000, 0.0000, 0.0000)
Li (0.0000, 0.6425, 0.9293)
In (0.5000, 0.9384, 0.8492)
In (0.5000, 0.5616, 0.3492)
In (0.5000, 0.1992, 0.4326)
In (0.5000, 0.0616, 0.1508)
In (0.5000, 0.8008, 0.5674)
In (0.5000, 0.6992, 0.0674)
In (0.5000, 0.4384, 0.6508)
In (0.5000, 0.3008, 0.9326)
Ag (0.5000, 0.4457, 0.1919)
Ag (0.5000, 0.9457, 0.3081)
Ag (0.5000, 0.0543, 0.6919)
Ag (0.5000, 0.5543, 0.8081)

Values from the calculation:
Mass density ... 5643 kg/m³
Crystal system ... orthorhombic
Spin magnetization ... 0.000 μB per atom
DOS at the Fermi energy ... 5.37 states/eV/cell

Need the numbers? Relative energies in kJ/mol of atoms: arrangement a 7.3; arrangement b 0.0.

Arrangement a

Li2InAg3: relaxed, PBE-GGA.

Cell lengths 4.7231, 7.5091, 7.8825 Å; angles 124.44, 90.00, 108.33 degrees
Element x y z (fractional)
Li (0.2127, 0.4255, 0.8611)
Li (0.4711, 0.9422, 0.1429)
Li (0.5289, 0.0578, 0.8571)
Li (0.7873, 0.5745, 0.1389)
Ag (0.2913, 0.5826, 0.6257)
Ag (0.9700, 0.9400, 0.6415)
Ag (0.7087, 0.4174, 0.3743)
Ag (0.3794, 0.7587, 0.3682)
Ag (0.6206, 0.2413, 0.6318)
Ag (0.0300, 0.0600, 0.3585)
In (0.1329, 0.2658, 0.1227)
In (0.8671, 0.7342, 0.8773)

Values from the calculation:
Mass density ... 7048 kg/m³
Crystal system ... monoclinic
Spin magnetization ... 0.000 μB per atom
DOS at the Fermi energy ... 3.82 states/eV/cell

Arrangement b

Li2InAg3: relaxed, PBE-GGA.

Cell lengths 7.3981, 7.3981, 6.4002 Å; angles 90.00, 90.00, 143.21 degrees
Element x y z (fractional)
Ag (0.8388, 0.1612, 0.2695)
Ag (0.5000, 0.5000, 0.2721)
Ag (0.1612, 0.8388, 0.2695)
Ag (0.5000, 0.5000, 0.7279)
Ag (0.8388, 0.1612, 0.7305)
Ag (0.1612, 0.8388, 0.7305)
In (0.6624, 0.3376, 0.0000)
In (0.3376, 0.6624, 0.0000)
Li (0.3323, 0.6677, 0.5000)
Li (0.0000, 0.0000, 0.5000)
Li (0.6677, 0.3323, 0.5000)
Li (0.0000, 0.0000, 0.0000)

Values from the calculation:
Mass density ... 7161 kg/m³
Crystal system ... orthorhombic
Spin magnetization ... 0.000 μB per atom
DOS at the Fermi energy ... 3.59 states/eV/cell

Need the numbers? Relative energies in kJ/mol of atoms: arrangement a 1.1; arrangement b 0.0.

Arrangement a

Li3InAg2: relaxed, PBE-GGA.

Cell lengths 4.7160, 7.5238, 7.8554 Å; angles 124.72, 90.00, 108.26 degrees
Element x y z (fractional)
Li (0.2946, 0.5892, 0.6194)
Li (0.6207, 0.2414, 0.6323)
Li (0.9634, 0.9268, 0.6346)
Li (0.3793, 0.7586, 0.3677)
Li (0.0366, 0.0732, 0.3654)
Li (0.7054, 0.4108, 0.3806)
In (0.1362, 0.2723, 0.1327)
In (0.8638, 0.7277, 0.8673)
Ag (0.4654, 0.9307, 0.1426)
Ag (0.7919, 0.5838, 0.1453)
Ag (0.2081, 0.4162, 0.8547)
Ag (0.5346, 0.0693, 0.8574)

Values from the calculation:
Mass density ... 5510 kg/m³
Crystal system ... monoclinic
Spin magnetization ... 0.000 μB per atom
DOS at the Fermi energy ... 4.25 states/eV/cell

Arrangement b

Li3InAg2: relaxed, PBE-GGA.

Cell lengths 3.8151, 4.2441, 12.7519 Å; angles 90.00, 90.00, 90.00 degrees
Element x y z (fractional)
Ag (0.0005, 0.5000, 0.1681)
Ag (0.9995, 0.0000, 0.6681)
Ag (0.0005, 0.5000, 0.8319)
Ag (0.9995, 0.0000, 0.3319)
Li (0.5009, 0.5000, 0.0000)
Li (0.4994, 0.5000, 0.3282)
Li (0.4991, 0.0000, 0.5000)
Li (0.5006, 0.0000, 0.8282)
Li (0.5006, 0.0000, 0.1718)
Li (0.4994, 0.5000, 0.6718)
In (0.9989, 0.5000, 0.5000)
In (0.0011, 0.0000, 0.0000)

Values from the calculation:
Mass density ... 5652 kg/m³
Crystal system ... orthorhombic
Spin magnetization ... 0.000 μB per atom
DOS at the Fermi energy ... 6.11 states/eV/cell

Need the numbers? Relative energies in kJ/mol of atoms: arrangement a 6.0; arrangement b 0.0.